(1)
## FeSiMo (PBE-GGA)

Data for crystalline FeSiMo at its relaxed geometry.

Cell: 6.106 3.626 10.406 Å, 90.00 90.30 90.00°
Space group P2_1/m (No. 11)
Unique sites:
Fe: 0.003 0.250 0.086 [2 per cell]
Fe: 0.144 0.250 0.461 [2 per cell]
Fe: 0.359 0.750 0.796 [2 per cell]
Si: 0.232 0.750 0.581 [2 per cell]
Si: 0.242 0.250 0.911 [2 per cell]
Si: 0.270 0.250 0.250 [2 per cell]
Mo: 0.020 0.250 0.708 [2 per cell]
Mo: 0.342 0.750 0.079 [2 per cell]
Mo: 0.473 0.750 0.380 [2 per cell]

Results
**ΔE_f (raw)**: -0.377 eV/atom
**Crystal system**: monoclinic

=====

(2)
## YCd2Hg (PBE-GGA)

Data for crystalline YCd2Hg at its relaxed geometry.

Cell: 3.765 3.765 6.954 Å, 90.00 90.00 90.00°
Space group P4/mmm (No. 123)
Unique sites:
Y: 0.000 0.000 0.000 [1 per cell]
Cd: 0.500 0.500 0.265 [2 per cell]
Hg: 0.000 0.000 0.500 [1 per cell]

Results
**Energy relative to the elements**: -0.187 eV per atom
**Crystal system**: tetragonal

=====

(3)
## Tm5PuBi6 (PBE-GGA)

Data for crystalline Tm5PuBi6 at its relaxed geometry.

Cell: 7.718 13.360 7.717 Å, 90.00 109.47 90.00°
Space group C2/m (No. 12)
Unique sites:
Tm: 0.000 0.000 0.000 [2 per cell]
Tm: 0.000 0.167 0.500 [4 per cell]
Tm: 0.000 0.335 0.000 [4 per cell]
Pu: 0.000 0.500 0.500 [2 per cell]
Bi: 0.246 0.000 0.751 [4 per cell]
Bi: 0.247 0.169 0.247 [8 per cell]

Results
**Energy relative to the elements**: -0.699 eV per atom
**Crystal system**: monoclinic

=====

(4)
## NdSmDy4 (PBE-GGA)

Data for crystalline NdSmDy4 at its relaxed geometry.

Cell: 9.364 9.364 9.364 Å, 90.00 90.00 90.00°
Space group F-43m (No. 216)
Unique sites:
Nd: 0.000 0.000 0.000 [4 per cell]
Sm: 0.250 0.250 0.750 [4 per cell]
Dy: 0.125 0.125 0.375 [16 per cell]

Results
**Energy relative to the elements**: 0.282 eV per atom
**Energy relative to the lowest polymorph listed for this composition**: 25.5 kJ per mole of atoms
**Crystal system**: cubic